Pm2B2O5 | PBE-GGA | relaxed

The calculation puts the volume at 13.63 Å³ per atom. The polymorph energy (0 for the lowest one) is 1.2387 eV/atom. The value obtained for the total energy is -5.978 eV/atom. The value obtained for the total magnetization is 0.17 μB/atom.

The structure belongs to space group P4/mmm (No. 123); the cell edges are 3.6487, 3.6487 and 9.2155 Å and the angles 90.00°, 90.00° and 90.00°. The distinct sites, in fractional coordinates, are Pm at (0.0000, 0.0000, 0.2457), B at (0.5000, 0.5000, 0.0000), B at (0.5000, 0.5000, 0.5000), O at (0.0000, 0.0000, 0.0000) and O at (0.0000, 0.5000, 0.3816).